The following is a GGA-PBE calculation of a relaxed Zn2PtSe crystal, from the Alexandria database.

```
Zn2PtSe
1.0
-2.740 -2.680 2.435
1.723 -2.639 3.269
-0.824 0.958 4.361
Pt Se Zn
1 1 2
Direct
0.500 0.500 0.500
0.750 0.750 0.750
0.000 0.000 0.000
0.250 0.250 0.250
```

Properties
- Energy: -3.00 eV per atom
- Fermi-level density of states: 0.171 states/eV per atom
- Magnetization: 0.00 μB/cell